Computed, not measured: an optimized crystal structure of Rb3YbV2O8 at the GGA+U level of DFT.

volume: 257 Å³ per cell
calculated total energy: -6.38 eV/atom

```
Rb3YbV2O8
1.0
3.049 -5.281 0.000
3.049 5.281 0.000
0.000 0.000 7.982
O V Rb Yb
8 2 3 1
direct
0.175 0.825 0.332 O
0.825 0.649 0.668 O
0.825 0.175 0.668 O
0.667 0.333 0.953 O
0.175 0.351 0.332 O
0.333 0.667 0.047 O
0.649 0.825 0.332 O
0.351 0.175 0.668 O
0.333 0.667 0.259 V
0.667 0.333 0.741 V
0.333 0.667 0.702 Rb
0.000 0.000 0.000 Rb
0.667 0.333 0.298 Rb
0.000 0.000 0.500 Yb
```